Here is a relaxed Be4Cd crystal from the Alexandria database. Energies are from PBE.

Results
Energy above the most stable polymorph in this dataset, eV/f.u.: 5.51
Space-group type: Pm-3m (221)
Formation enthalpy at 0 K, eV/atom: 1.4749

Cell: 4.377 4.377 4.377 Å, 90.00 90.00 90.00°
Element x y z (fractional)
Be 0.000 0.000 0.000
Be 0.500 0.000 0.500
Be 0.000 0.500 0.500
Be 0.500 0.500 0.000
Cd 0.500 0.500 0.500


Here is a relaxed ScCrInAu2 crystal from the Alexandria database. Energies are from PBE.

Results
Space-group type: P4/mmm (123)
Formation enthalpy at 0 K, eV/atom: 0.5348

Cell: 4.836 4.885 4.836 Å, 90.00 90.00 90.00°
Element x y z (fractional)
Sc 0.500 0.500 0.500
Cr 0.000 0.000 0.000
Au 0.000 0.000 0.500
Au 0.500 0.000 0.000
In 0.000 0.500 0.000


Here is a relaxed Y2B4Ir3 crystal from the Alexandria database. Energies are from PBE.

Results
Space-group type: Fmmm (69)
Formation enthalpy at 0 K, eV/atom: -0.2454

Cell: 5.411 5.411 5.623 Å, 104.67 104.67 118.27°
Element x y z (fractional)
Y 0.654 0.654 0.308
Y 0.346 0.346 0.692
B 0.048 0.618 0.666
B 0.618 0.048 0.666
B 0.952 0.382 0.334
B 0.382 0.952 0.334
Ir 0.500 0.000 0.000
Ir 0.000 0.000 0.000
Ir 0.000 0.500 0.000


Here is a relaxed AlPPt crystal from the Alexandria database. Energies are from PBE.

Results
Space-group type: P3m1 (156)
Formation enthalpy at 0 K, eV/atom: -0.3273

Cell: 3.279 3.279 5.175 Å, 90.00 90.00 120.00°
Element x y z (fractional)
P 0.333 0.667 0.349
Al 0.000 0.000 0.001
Pt 0.667 0.333 0.649


Here is a relaxed Nd8InBi6 crystal from the Alexandria database. Energies are from PBE.

Results
Space-group type: R-3 (148)
Formation enthalpy at 0 K, eV/atom: -0.7130

Cell: 9.645 9.645 8.562 Å, 55.72 55.72 60.00°
Element x y z (fractional)
Nd 0.644 0.183 0.269
Nd 0.817 0.096 0.731
Nd 0.096 0.356 0.731
Nd 0.666 0.666 0.001
Nd 0.334 0.334 0.999
Nd 0.904 0.644 0.269
Nd 0.183 0.904 0.269
Nd 0.356 0.817 0.731
In 0.000 0.000 0.000
Bi 0.461 0.072 0.768
Bi 0.928 0.301 0.232
Bi 0.301 0.539 0.232
Bi 0.699 0.461 0.768
Bi 0.072 0.699 0.768
Bi 0.539 0.928 0.232


Here is a relaxed Dy8Al2Ag crystal from the Alexandria database. Energies are from PBE.

Results
Space-group type: C2/m (12)
Formation enthalpy at 0 K, eV/atom: -0.1581

Cell: 5.076 6.728 9.523 Å, 102.22 105.46 90.00°
Element x y z (fractional)
Dy 0.405 0.535 0.811
Dy 0.657 0.967 0.315
Dy 0.795 0.700 0.589
Dy 0.977 0.233 0.955
Dy 0.205 0.300 0.411
Dy 0.343 0.033 0.685
Dy 0.595 0.465 0.189
Dy 0.023 0.767 0.045
Al 0.811 0.255 0.621
Al 0.189 0.745 0.379
Ag 0.500 0.000 0.000


Here is a relaxed CsLa2Bi2 crystal from the Alexandria database. Energies are from PBE.

Results
Energy above the most stable polymorph in this dataset, eV/f.u.: 0.00
Space-group type: P4/mbm (127)
Formation enthalpy at 0 K, eV/atom: -0.6223

Cell: 9.456 9.456 4.132 Å, 90.00 90.00 90.00°
Each line ends with the local moment (μB).
Element x y z (fractional)
Cs 0.000 0.000 0.000  0.01
Cs 0.500 0.500 0.000  0.01
Bi 0.163 0.663 0.500  -0.01
Bi 0.663 0.837 0.500  -0.01
Bi 0.837 0.337 0.500  -0.01
Bi 0.337 0.163 0.500  -0.01
La 0.371 0.871 0.000  0.23
La 0.871 0.629 0.000  0.23
La 0.629 0.129 0.000  0.23
La 0.129 0.371 0.000  0.23


Here is a relaxed LaHoNi10 crystal from the Alexandria database. Energies are from PBE.

Results
Space-group type: Pmmm (47)
Formation enthalpy at 0 K, eV/atom: -0.3056

Cell: 3.967 4.932 8.543 Å, 90.00 90.00 90.00°
Each line ends with the local moment (μB).
Element x y z (fractional)
La 0.000 0.000 0.000  -0.06
Ho 0.000 0.500 0.500  -0.09
Ni 0.000 0.000 0.338  0.28
Ni 0.000 0.500 0.828  0.26
Ni 0.000 0.500 0.172  0.26
Ni 0.000 0.000 0.662  0.28
Ni 0.500 0.000 0.500  0.37
Ni 0.500 0.500 0.000  0.35
Ni 0.500 0.254 0.256  0.36
Ni 0.500 0.746 0.744  0.36
Ni 0.500 0.746 0.256  0.36
Ni 0.500 0.254 0.744  0.36


Here is a relaxed TbPmPb crystal from the Alexandria database. Energies are from PBE.

Results
Energy above the most stable polymorph in this dataset, eV/f.u.: 0.43
Space-group type: I4mm (107)
Formation enthalpy at 0 K, eV/atom: -0.3018

Cell: 4.177 4.177 5.880 Å, 110.81 110.81 90.00°
Each line ends with the local moment (μB).
Element x y z (fractional)
Pb 0.619 0.619 0.238  0.00
Tb 0.274 0.274 0.548  0.21
Pm 0.957 0.957 0.914  0.16


Here is a relaxed Li2LaGe crystal from the Alexandria database. Energies are from PBE.

Results
Space-group type: I-42d (122)
Formation enthalpy at 0 K, eV/atom: -0.1993

Cell: 4.603 4.603 10.502 Å, 77.34 77.34 90.00°
Element x y z (fractional)
Ge 0.500 0.500 0.000
Ge 0.250 0.750 0.500
Li 0.496 0.125 0.250
Li 0.254 0.625 0.250
Li 0.375 0.504 0.750
Li 0.875 0.746 0.750
La 0.000 0.000 0.000
La 0.750 0.250 0.500


Here is a relaxed TbNdEr2Tm crystal from the Alexandria database. Energies are from PBE.

Results
Space-group type: Cmcm (63)
Formation enthalpy at 0 K, eV/atom: 0.3894

Cell: 7.178 8.359 7.073 Å, 126.22 90.00 90.00°
Element x y z (fractional)
Tb 0.250 0.001 0.001
Tb 0.750 0.999 0.999
Nd 0.250 0.729 0.457
Nd 0.750 0.271 0.543
Er 0.500 0.311 0.000
Er 0.000 0.689 0.000
Er 0.500 0.689 0.000
Er 0.000 0.311 0.000
Tm 0.750 0.720 0.439
Tm 0.250 0.280 0.561


Here is a relaxed LaCu2SnF crystal from the Alexandria database. Energies are from PBE.

Results
Energy above the most stable polymorph in this dataset, eV/f.u.: 0.00
Space-group type: P4/mmm (123)
Formation energy from raw total energies, meV per atom: -525.0

Cell: 4.914 4.495 4.914 Å, 90.00 90.00 90.00°
Element x y z (fractional)
F 0.000 0.500 0.000
Sn 0.000 0.000 0.000
Cu 0.000 0.000 0.500
Cu 0.500 0.000 0.000
La 0.500 0.500 0.500